Version A
The following is a PBE calculation of a relaxed CoNi2H crystal, from the Alexandria database. Values from VASP.

M_tot, μB per atom: 0.617
Space-group type: Fm-3m (225)

Structure (Quantum ESPRESSO input):
```
&SYSTEM
  ibrav = 0, nat = 4, ntyp = 3
/
ATOMIC_SPECIES
Ni 58.69 Ni.upf
Co 58.93 Co.upf
H 1.01 H.upf
CELL_PARAMETERS angstrom
2.0238 -1.0152 3.0560
-1.1958 0.9648 3.4792
-1.3304 -2.6681 2.3615
ATOMIC_POSITIONS crystal
Ni 0.2500 0.2500 0.2500
Ni 0.7500 0.7500 0.7500
Co 0.5000 0.5000 0.5000
H 0.0000 0.0000 0.0000
```

---

Version B
The following is a PBE calculation of a relaxed CoNi2H crystal, from the Alexandria database. Values from VASP.

M_tot, μB per atom: 0.654
Space-group type: R-3m (166)

Structure (Quantum ESPRESSO input):
```
&SYSTEM
  ibrav = 0, nat = 4, ntyp = 3
/
ATOMIC_SPECIES
Ni 58.69 Ni.upf
Co 58.93 Co.upf
H 1.01 H.upf
CELL_PARAMETERS angstrom
2.4854 0.0000 0.0000
1.2427 2.1524 0.0000
1.2427 0.7175 6.9094
ATOMIC_POSITIONS crystal
Ni 0.1123 0.1123 0.6630
Ni 0.8877 0.8877 0.3370
Co 0.0000 0.0000 0.0000
H 0.5000 0.5000 0.5000
```

---

Name the least stable of them. version A.

---

Version A
The following is a PBE calculation of a relaxed Co2NiHOs crystal, from the Alexandria database. Values from VASP.

M_tot, μB per atom: 0.830
Space-group type: P4/mmm (123)

Structure (Quantum ESPRESSO input):
```
&SYSTEM
  ibrav = 0, nat = 5, ntyp = 4
/
ATOMIC_SPECIES
Ni 58.69 Ni.upf
Os 190.23 Os.upf
H 1.01 H.upf
Co 58.93 Co.upf
CELL_PARAMETERS angstrom
-0.0375 -3.5885 -0.8791
2.9386 -0.5618 2.1681
-2.1804 -0.6593 2.7844
ATOMIC_POSITIONS crystal
Ni 0.0000 0.0000 0.5000
Os 0.5000 0.5000 0.5000
H 0.0000 0.0000 0.0000
Co 0.0000 0.5000 0.0000
Co 0.5000 0.0000 0.0000
```

---

Version B
The following is a PBE calculation of a relaxed Co2NiHOs crystal, from the Alexandria database. Values from VASP.

M_tot, μB per atom: 0.846
Space-group type: P4/mmm (123)

Structure (Quantum ESPRESSO input):
```
&SYSTEM
  ibrav = 0, nat = 5, ntyp = 4
/
ATOMIC_SPECIES
Ni 58.69 Ni.upf
Os 190.23 Os.upf
H 1.01 H.upf
Co 58.93 Co.upf
CELL_PARAMETERS angstrom
3.6459 0.0000 0.0000
0.0000 3.6459 0.0000
0.0000 0.0000 3.7563
ATOMIC_POSITIONS crystal
Ni 0.5000 0.5000 0.5000
Os 0.0000 0.0000 0.5000
H 0.0000 0.0000 0.0000
Co 0.0000 0.5000 0.0000
Co 0.5000 0.0000 0.0000
```

---

Name the least stable of them. version B.

---

Version A
The following is a PBE calculation of a relaxed CoNi2HPd crystal, from the Alexandria database. Values from VASP.

M_tot, μB per atom: 0.640
Space-group type: P4/mmm (123)

Structure (Quantum ESPRESSO input):
```
&SYSTEM
  ibrav = 0, nat = 5, ntyp = 4
/
ATOMIC_SPECIES
Ni 58.69 Ni.upf
Co 58.93 Co.upf
Pd 106.42 Pd.upf
H 1.01 H.upf
CELL_PARAMETERS angstrom
-1.3256 1.7849 2.9277
-1.2785 -3.1698 1.3536
3.2916 -0.5484 1.8247
ATOMIC_POSITIONS crystal
Ni 0.0000 0.5000 0.0000
Ni 0.5000 0.0000 0.0000
Co 0.5000 0.5000 0.5000
Pd 0.0000 0.0000 0.5000
H 0.0000 0.0000 0.0000
```

---

Version B
The following is a PBE calculation of a relaxed CoNi2HPd crystal, from the Alexandria database. Values from VASP.

M_tot, μB per atom: 0.601
Space-group type: P4/mmm (123)

Structure (Quantum ESPRESSO input):
```
&SYSTEM
  ibrav = 0, nat = 5, ntyp = 4
/
ATOMIC_SPECIES
Ni 58.69 Ni.upf
Co 58.93 Co.upf
Pd 106.42 Pd.upf
H 1.01 H.upf
CELL_PARAMETERS angstrom
3.6980 0.0000 0.0000
0.0000 3.6980 0.0000
0.0000 0.0000 3.6873
ATOMIC_POSITIONS crystal
Ni 0.0000 0.5000 0.0000
Ni 0.5000 0.0000 0.0000
Co 0.0000 0.0000 0.5000
Pd 0.5000 0.5000 0.5000
H 0.0000 0.0000 0.0000
```

---

Name the least stable of them. version A.

---

Version A
The following is a PBE calculation of a relaxed CoNi2HPt crystal, from the Alexandria database. Values from VASP.

M_tot, μB per atom: 0.657
Space-group type: P4/mmm (123)

Structure (Quantum ESPRESSO input):
```
&SYSTEM
  ibrav = 0, nat = 5, ntyp = 4
/
ATOMIC_SPECIES
Ni 58.69 Ni.upf
Co 58.93 Co.upf
Pt 195.08 Pt.upf
H 1.01 H.upf
CELL_PARAMETERS angstrom
3.6929 0.0000 0.0000
0.0000 3.6929 0.0000
0.0000 0.0000 3.8036
ATOMIC_POSITIONS crystal
Ni 0.0000 0.5000 0.0000
Ni 0.5000 0.0000 0.0000
Co 0.5000 0.5000 0.5000
Pt 0.0000 0.0000 0.5000
H 0.0000 0.0000 0.0000
```

---

Version B
The following is a PBE calculation of a relaxed CoNi2HPt crystal, from the Alexandria database. Values from VASP.

M_tot, μB per atom: 0.592
Space-group type: P4/mmm (123)

Structure (Quantum ESPRESSO input):
```
&SYSTEM
  ibrav = 0, nat = 5, ntyp = 4
/
ATOMIC_SPECIES
Ni 58.69 Ni.upf
Co 58.93 Co.upf
Pt 195.08 Pt.upf
H 1.01 H.upf
CELL_PARAMETERS angstrom
-3.6426 -0.6274 0.2575
0.5803 -2.1556 2.9573
-0.3496 2.9356 2.2083
ATOMIC_POSITIONS crystal
Ni 0.0000 0.5000 0.0000
Ni 0.5000 0.0000 0.0000
Co 0.0000 0.0000 0.5000
Pt 0.5000 0.5000 0.5000
H 0.0000 0.0000 0.0000
```

---

Name the least stable of them. version A.

---

Version A
The following is a PBE calculation of a relaxed Co2NiHPt crystal, from the Alexandria database. Values from VASP.

M_tot, μB per atom: 0.864
Space-group type: P4/mmm (123)

Structure (Quantum ESPRESSO input):
```
&SYSTEM
  ibrav = 0, nat = 5, ntyp = 4
/
ATOMIC_SPECIES
Ni 58.69 Ni.upf
Co 58.93 Co.upf
Pt 195.08 Pt.upf
H 1.01 H.upf
CELL_PARAMETERS angstrom
3.6780 0.0000 0.0000
0.0000 3.6780 0.0000
0.0000 0.0000 3.8162
ATOMIC_POSITIONS crystal
Ni 0.5000 0.5000 0.5000
Co 0.0000 0.5000 0.0000
Co 0.5000 0.0000 0.0000
Pt 0.0000 0.0000 0.5000
H 0.0000 0.0000 0.0000
```

---

Version B
The following is a PBE calculation of a relaxed Co2NiHPt crystal, from the Alexandria database. Values from VASP.

M_tot, μB per atom: 0.842
Space-group type: P4/mmm (123)

Structure (Quantum ESPRESSO input):
```
&SYSTEM
  ibrav = 0, nat = 5, ntyp = 4
/
ATOMIC_SPECIES
Ni 58.69 Ni.upf
Co 58.93 Co.upf
Pt 195.08 Pt.upf
H 1.01 H.upf
CELL_PARAMETERS angstrom
-0.3893 2.7763 -2.3904
0.5513 -2.3321 -2.7984
-3.6719 -0.6624 -0.1713
ATOMIC_POSITIONS crystal
Ni 0.0000 0.0000 0.5000
Co 0.0000 0.5000 0.0000
Co 0.5000 0.0000 0.0000
Pt 0.5000 0.5000 0.5000
H 0.0000 0.0000 0.0000
```

---

Name the least stable of them. version A.

---

Version A
The following is a PBE calculation of a relaxed Co2ReNiH crystal, from the Alexandria database. Values from VASP.

M_tot, μB per atom: 0.319
Space-group type: P4/mmm (123)

Structure (Quantum ESPRESSO input):
```
&SYSTEM
  ibrav = 0, nat = 5, ntyp = 4
/
ATOMIC_SPECIES
Re 186.21 Re.upf
Co 58.93 Co.upf
H 1.01 H.upf
Ni 58.69 Ni.upf
CELL_PARAMETERS angstrom
-0.5557 -1.7808 -3.1703
-2.5662 -2.0800 1.6182
-2.5079 2.3911 -0.9036
ATOMIC_POSITIONS crystal
Re 0.5000 0.5000 0.5000
Co 0.0000 0.5000 0.0000
Co 0.5000 0.0000 0.0000
H 0.0000 0.0000 0.0000
Ni 0.0000 0.0000 0.5000
```

---

Version B
The following is a PBE calculation of a relaxed Co2ReNiH crystal, from the Alexandria database. Values from VASP.

M_tot, μB per atom: 0.556
Space-group type: P4/mmm (123)

Structure (Quantum ESPRESSO input):
```
&SYSTEM
  ibrav = 0, nat = 5, ntyp = 4
/
ATOMIC_SPECIES
Re 186.21 Re.upf
Co 58.93 Co.upf
H 1.01 H.upf
Ni 58.69 Ni.upf
CELL_PARAMETERS angstrom
3.6268 0.0000 0.0000
0.0000 3.6268 0.0000
0.0000 0.0000 3.7712
ATOMIC_POSITIONS crystal
Re 0.0000 0.0000 0.5000
Co 0.0000 0.5000 0.0000
Co 0.5000 0.0000 0.0000
H 0.0000 0.0000 0.0000
Ni 0.5000 0.5000 0.5000
```

---

Name the least stable of them. version B.

---

Version A
The following is a PBE calculation of a relaxed ScCoNi2H crystal, from the Alexandria database. Values from VASP.

M_tot, μB per atom: 0.148
Space-group type: P4/mmm (123)

Structure (Quantum ESPRESSO input):
```
&SYSTEM
  ibrav = 0, nat = 5, ntyp = 4
/
ATOMIC_SPECIES
Sc 44.96 Sc.upf
Ni 58.69 Ni.upf
Co 58.93 Co.upf
H 1.01 H.upf
CELL_PARAMETERS angstrom
-2.9444 -2.0900 0.1482
1.9122 -2.7849 -1.2835
0.9641 -1.0889 3.7990
ATOMIC_POSITIONS crystal
Sc 0.0000 0.0000 0.5000
Ni 0.0000 0.5000 0.0000
Ni 0.5000 0.0000 0.0000
Co 0.5000 0.5000 0.5000
H 0.0000 0.0000 0.0000
```

---

Version B
The following is a PBE calculation of a relaxed ScCoNi2H crystal, from the Alexandria database. Values from VASP.

M_tot, μB per atom: 0.140
Space-group type: P4/mmm (123)

Structure (Quantum ESPRESSO input):
```
&SYSTEM
  ibrav = 0, nat = 5, ntyp = 4
/
ATOMIC_SPECIES
Sc 44.96 Sc.upf
Ni 58.69 Ni.upf
Co 58.93 Co.upf
H 1.01 H.upf
CELL_PARAMETERS angstrom
3.7203 0.0000 0.0000
0.0000 3.7203 0.0000
0.0000 0.0000 3.7918
ATOMIC_POSITIONS crystal
Sc 0.5000 0.5000 0.5000
Ni 0.0000 0.5000 0.0000
Ni 0.5000 0.0000 0.0000
Co 0.0000 0.0000 0.5000
H 0.0000 0.0000 0.0000
```

---

Name the least stable of them. version A.

---

Version A
The following is a PBE calculation of a relaxed TaCo2NiH crystal, from the Alexandria database. Values from VASP.

M_tot, μB per atom: 0.000
Space-group type: P4/mmm (123)

Structure (Quantum ESPRESSO input):
```
&SYSTEM
  ibrav = 0, nat = 5, ntyp = 4
/
ATOMIC_SPECIES
Ni 58.69 Ni.upf
Co 58.93 Co.upf
H 1.01 H.upf
Ta 180.95 Ta.upf
CELL_PARAMETERS angstrom
-0.3112 -2.3201 2.9221
3.5668 -0.0757 0.3198
-0.1454 2.9376 2.3169
ATOMIC_POSITIONS crystal
Ni 0.0000 0.5000 0.0000
Co 0.0000 0.0000 0.5000
Co 0.5000 0.0000 0.0000
H 0.0000 0.0000 0.0000
Ta 0.5000 0.5000 0.5000
```

---

Version B
The following is a PBE calculation of a relaxed TaCo2NiH crystal, from the Alexandria database. Values from VASP.

M_tot, μB per atom: 0.000
Space-group type: P4/mmm (123)

Structure (Quantum ESPRESSO input):
```
&SYSTEM
  ibrav = 0, nat = 5, ntyp = 4
/
ATOMIC_SPECIES
Ni 58.69 Ni.upf
Co 58.93 Co.upf
H 1.01 H.upf
Ta 180.95 Ta.upf
CELL_PARAMETERS angstrom
-2.3569 -2.6529 0.8164
1.7434 -2.2483 -2.2727
2.2920 -1.1462 2.8921
ATOMIC_POSITIONS crystal
Ni 0.5000 0.5000 0.5000
Co 0.0000 0.5000 0.0000
Co 0.5000 0.0000 0.0000
H 0.0000 0.0000 0.0000
Ta 0.0000 0.0000 0.5000
```

---

Name the least stable of them. version B.

---

Version A
The following is a PBE calculation of a relaxed Co2TcNiH crystal, from the Alexandria database. Values from VASP.

M_tot, μB per atom: 0.700
Space-group type: P4/mmm (123)

Structure (Quantum ESPRESSO input):
```
&SYSTEM
  ibrav = 0, nat = 5, ntyp = 4
/
ATOMIC_SPECIES
Ni 58.69 Ni.upf
Co 58.93 Co.upf
Tc 98.00 Tc.upf
H 1.01 H.upf
CELL_PARAMETERS angstrom
3.6284 0.0000 0.0000
0.0000 3.6284 0.0000
0.0000 0.0000 3.7637
ATOMIC_POSITIONS crystal
Ni 0.5000 0.5000 0.5000
Co 0.0000 0.5000 0.0000
Co 0.5000 0.0000 0.0000
Tc 0.0000 0.0000 0.5000
H 0.0000 0.0000 0.0000
```

---

Version B
The following is a PBE calculation of a relaxed Co2TcNiH crystal, from the Alexandria database. Values from VASP.

M_tot, μB per atom: 0.540
Space-group type: P4/mmm (123)

Structure (Quantum ESPRESSO input):
```
&SYSTEM
  ibrav = 0, nat = 5, ntyp = 4
/
ATOMIC_SPECIES
Ni 58.69 Ni.upf
Co 58.93 Co.upf
Tc 98.00 Tc.upf
H 1.01 H.upf
CELL_PARAMETERS angstrom
-2.6847 1.9291 -1.6067
-2.5079 -1.9533 1.8453
0.1121 2.3894 2.6815
ATOMIC_POSITIONS crystal
Ni 0.0000 0.0000 0.5000
Co 0.0000 0.5000 0.0000
Co 0.5000 0.0000 0.0000
Tc 0.5000 0.5000 0.5000
H 0.0000 0.0000 0.0000
```

---

Version C
The following is a PBE calculation of a relaxed Co2TcNiH crystal, from the Alexandria database. Values from VASP.

M_tot, μB per atom: 0.491
Space-group type: P4/mmm (123)

Structure (Quantum ESPRESSO input):
```
&SYSTEM
  ibrav = 0, nat = 5, ntyp = 4
/
ATOMIC_SPECIES
Ni 58.69 Ni.upf
Co 58.93 Co.upf
Tc 98.00 Tc.upf
H 1.01 H.upf
CELL_PARAMETERS angstrom
-1.2492 -3.4791 2.4716
-1.1117 -1.4409 -2.5901
3.9717 -1.8900 -0.6532
ATOMIC_POSITIONS crystal
Ni 0.5000 0.5000 0.5000
Co 0.0000 0.0000 0.5000
Co 0.5000 0.0000 0.0000
Tc 0.0000 0.0000 0.0000
H 0.0000 0.5000 0.0000
```

---

Name the least stable of them. version C.

---

Version A
The following is a PBE calculation of a relaxed CoTc2NiH crystal, from the Alexandria database. Values from VASP.

M_tot, μB per atom: 0.299
Space-group type: P4/mmm (123)

Structure (Quantum ESPRESSO input):
```
&SYSTEM
  ibrav = 0, nat = 5, ntyp = 4
/
ATOMIC_SPECIES
Ni 58.69 Ni.upf
Co 58.93 Co.upf
Tc 98.00 Tc.upf
H 1.01 H.upf
CELL_PARAMETERS angstrom
3.7992 0.0000 0.0000
0.0000 3.7992 0.0000
0.0000 0.0000 3.6932
ATOMIC_POSITIONS crystal
Ni 0.5000 0.5000 0.5000
Co 0.0000 0.0000 0.5000
Tc 0.0000 0.5000 0.0000
Tc 0.5000 0.0000 0.0000
H 0.0000 0.0000 0.0000
```

---

Version B
The following is a PBE calculation of a relaxed CoTc2NiH crystal, from the Alexandria database. Values from VASP.

M_tot, μB per atom: 0.347
Space-group type: P4/mmm (123)

Structure (Quantum ESPRESSO input):
```
&SYSTEM
  ibrav = 0, nat = 5, ntyp = 4
/
ATOMIC_SPECIES
Ni 58.69 Ni.upf
Co 58.93 Co.upf
Tc 98.00 Tc.upf
H 1.01 H.upf
CELL_PARAMETERS angstrom
-0.1603 2.7514 -2.6295
0.7483 -2.5577 -2.7218
-3.6064 -0.6099 -0.4184
ATOMIC_POSITIONS crystal
Ni 0.0000 0.0000 0.5000
Co 0.5000 0.5000 0.5000
Tc 0.0000 0.5000 0.0000
Tc 0.5000 0.0000 0.0000
H 0.0000 0.0000 0.0000
```

---

Name the least stable of them. version B.

---

Version A
The following is a PBE calculation of a relaxed Ti2CoNiH crystal, from the Alexandria database. Values from VASP.

M_tot, μB per atom: 0.158
Space-group type: P4/mmm (123)

Structure (Quantum ESPRESSO input):
```
&SYSTEM
  ibrav = 0, nat = 5, ntyp = 4
/
ATOMIC_SPECIES
Ni 58.69 Ni.upf
Co 58.93 Co.upf
H 1.01 H.upf
Ti 47.87 Ti.upf
CELL_PARAMETERS angstrom
-0.6454 2.4298 3.1741
0.6431 -3.1102 2.5116
3.3117 0.7592 0.0922
ATOMIC_POSITIONS crystal
Ni 0.5000 0.5000 0.5000
Co 0.0000 0.0000 0.5000
H 0.0000 0.0000 0.0000
Ti 0.0000 0.5000 0.0000
Ti 0.5000 0.0000 0.0000
```

---

Version B
The following is a PBE calculation of a relaxed Ti2CoNiH crystal, from the Alexandria database. Values from VASP.

M_tot, μB per atom: 0.128
Space-group type: P4/mmm (123)

Structure (Quantum ESPRESSO input):
```
&SYSTEM
  ibrav = 0, nat = 5, ntyp = 4
/
ATOMIC_SPECIES
Ni 58.69 Ni.upf
Co 58.93 Co.upf
H 1.01 H.upf
Ti 47.87 Ti.upf
CELL_PARAMETERS angstrom
-0.8418 1.0874 3.8162
-0.3580 -3.9060 1.0341
3.2950 -0.1019 0.7559
ATOMIC_POSITIONS crystal
Ni 0.0000 0.0000 0.5000
Co 0.5000 0.5000 0.5000
H 0.0000 0.0000 0.0000
Ti 0.0000 0.5000 0.0000
Ti 0.5000 0.0000 0.0000
```

---

Name the least stable of them. version B.

---

Version A
The following is a PBE calculation of a relaxed Co2NiHW crystal, from the Alexandria database. Values from VASP.

M_tot, μB per atom: 0.000
Space-group type: P4/mmm (123)

Structure (Quantum ESPRESSO input):
```
&SYSTEM
  ibrav = 0, nat = 5, ntyp = 4
/
ATOMIC_SPECIES
Ni 58.69 Ni.upf
Co 58.93 Co.upf
W 183.84 W.upf
H 1.01 H.upf
CELL_PARAMETERS angstrom
3.7089 0.0000 0.0000
0.0000 3.7089 0.0000
0.0000 0.0000 3.5628
ATOMIC_POSITIONS crystal
Ni 0.0000 0.0000 0.5000
Co 0.0000 0.5000 0.0000
Co 0.5000 0.0000 0.0000
W 0.5000 0.5000 0.5000
H 0.0000 0.0000 0.0000
```

---

Version B
The following is a PBE calculation of a relaxed Co2NiHW crystal, from the Alexandria database. Values from VASP.

M_tot, μB per atom: 0.001
Space-group type: P4/mmm (123)

Structure (Quantum ESPRESSO input):
```
&SYSTEM
  ibrav = 0, nat = 5, ntyp = 4
/
ATOMIC_SPECIES
Ni 58.69 Ni.upf
Co 58.93 Co.upf
W 183.84 W.upf
H 1.01 H.upf
CELL_PARAMETERS angstrom
3.6214 0.0000 0.0000
0.0000 3.6214 0.0000
0.0000 0.0000 3.8023
ATOMIC_POSITIONS crystal
Ni 0.5000 0.5000 0.5000
Co 0.0000 0.5000 0.0000
Co 0.5000 0.0000 0.0000
W 0.0000 0.0000 0.5000
H 0.0000 0.0000 0.0000
```

---

Name the least stable of them. version B.